1.
# AcTmFe4, optimized geometry, DFT PBE
data_AcTmFe4
_symmetry_space_group_name_H-M 'F -4 3 m'
_symmetry_Int_Tables_number 216
_symmetry_space_group_name_Hall 'F -4 2 3'
_cell_length_a 7.433
_cell_length_b 7.433
_cell_length_c 7.433
_cell_angle_alpha 90.00
_cell_angle_beta 90.00
_cell_angle_gamma 90.00
loop_
_atom_site_label
_atom_site_fract_x
_atom_site_fract_y
_atom_site_fract_z
_atom_site_occupancy
Ac1 0.000 0.000 0.000 1
Tm1 0.250 0.250 0.250 1
Fe1 0.124 0.124 0.624 1
# DOS(E_F) = 22.72 states/eV per cell
# Energy = -167.6 eV/cell



2.
# AcTm3Fe, optimized geometry, DFT PBE
data_AcTm3Fe
_symmetry_space_group_name_H-M 'P m -3 m'
_symmetry_Int_Tables_number 221
_symmetry_space_group_name_Hall '-P 4 2 3'
_cell_length_a 5.293
_cell_length_b 5.293
_cell_length_c 5.293
_cell_angle_alpha 90.00
_cell_angle_beta 90.00
_cell_angle_gamma 90.00
loop_
_atom_site_label
_atom_site_fract_x
_atom_site_fract_y
_atom_site_fract_z
_atom_site_occupancy
Ac1 0.000 0.000 0.000 1
Tm1 0.000 0.500 0.500 1
Fe1 0.500 0.500 0.500 1
# DOS(E_F) = 6.46 states/eV per cell
# Energy = -25.7 eV/cell



3.
# AcUFe2, optimized geometry, DFT PBE
data_AcUFe2
_symmetry_space_group_name_H-M 'R -3 m'
_symmetry_Int_Tables_number 166
_symmetry_space_group_name_Hall '-R 3 2"'
_cell_length_a 3.3560
_cell_length_b 3.3560
_cell_length_c 26.4735
_cell_angle_alpha 90.00
_cell_angle_beta 90.00
_cell_angle_gamma 120.00
loop_
_atom_site_label
_atom_site_fract_x
_atom_site_fract_y
_atom_site_fract_z
_atom_site_occupancy
Ac1 0.0000 0.0000 0.0000 1
U1 0.0000 0.0000 0.5000 1
Fe1 0.0000 0.0000 0.1090 1
# DOS(E_F) = 14.42 states/eV per cell
# Energy = -88.8 eV/cell



4.
# AcYFe4, optimized geometry, DFT PBE
data_AcYFe4
_symmetry_space_group_name_H-M 'F -4 3 m'
_symmetry_Int_Tables_number 216
_symmetry_space_group_name_Hall 'F -4 2 3'
_cell_length_a 7.479
_cell_length_b 7.479
_cell_length_c 7.479
_cell_angle_alpha 90.00
_cell_angle_beta 90.00
_cell_angle_gamma 90.00
loop_
_atom_site_label
_atom_site_fract_x
_atom_site_fract_y
_atom_site_fract_z
_atom_site_occupancy
Ac1 0.000 0.000 0.000 1
Y1 0.250 0.250 0.250 1
Fe1 0.124 0.124 0.624 1
# DOS(E_F) = 23.48 states/eV per cell
# Energy = -174.9 eV/cell